1.
A geometry-optimized La2NpFe2N6 structure. Source: Alexandria via LeMat-Bulk, functional GGA-PBE.

## Properties
**Magnetization**: 8.030 μB per cell
**SG**: R-3m
**Density**: 7.26 Mg/m³
**Total DFT energy (no corrections)**: -8.855 eV/atom

a b c (Å): 6.464 6.464 6.464
angles (deg): 53.60 53.60 53.60
Sites, in units of the cell vectors:
La 0.213 0.213 0.213
La 0.787 0.787 0.787
Np 0.000 0.000 0.000
Fe 0.426 0.426 0.426
Fe 0.574 0.574 0.574
N 0.228 0.754 0.754
N 0.246 0.246 0.772
N 0.246 0.772 0.246
N 0.754 0.228 0.754
N 0.754 0.754 0.228
N 0.772 0.246 0.246

2.
A geometry-optimized La2FeP2N6 structure. Source: Alexandria via LeMat-Bulk, functional GGA-PBE.

## Properties
**Magnetization**: 1.982 μB per cell
**SG**: R-3m
**Density**: 5.98 Mg/m³
**Total DFT energy (no corrections)**: -7.888 eV/atom

a b c (Å): 6.044 6.044 6.044
angles (deg): 53.71 53.71 53.71
Sites, in units of the cell vectors:
La 0.225 0.225 0.225
La 0.775 0.775 0.775
Fe 0.000 0.000 0.000
P 0.430 0.430 0.430
P 0.570 0.570 0.570
N 0.244 0.244 0.752
N 0.244 0.752 0.244
N 0.248 0.756 0.756
N 0.752 0.244 0.244
N 0.756 0.248 0.756
N 0.756 0.756 0.248

Question: Which of these has the highest magnetization?
Answer: La2NpFe2N6

Question: Which value of density does entry 1 give?
Answer: 7.26 Mg/m³

Question: Look up the total DFT energy (no corrections) of the second one.
Answer: -7.888 eV/atom